The following is a PBE calculation of TiZnCdH2 after structural relaxation, from Alexandria.

CIF file:
```
data_TiZnCdH2
_symmetry_space_group_name_H-M 'P 1'
_symmetry_Int_Tables_number 1
_symmetry_space_group_name_Hall 'P 1'
_cell_length_a 3.744
_cell_length_b 3.744
_cell_length_c 6.066
_cell_angle_alpha 90.00
_cell_angle_beta 90.00
_cell_angle_gamma 90.00
loop_
_atom_site_label
_atom_site_fract_x
_atom_site_fract_y
_atom_site_fract_z
_atom_site_occupancy
Ti1 0.000 0.000 0.000 1
Zn1 0.500 0.500 0.000 1
Cd1 0.000 0.000 0.500 1
H1 0.000 0.500 0.500 1
H2 0.500 0.000 0.500 1
```

Results
- Energy: -2.6331 eV/atom
- Theoretical density: 4.4 Mg/m³
- DOS(E_F): 3.6 states/eV per cell

***

The following is a PBE calculation of NdAuO3 after structural relaxation, from Alexandria.

CIF file:
```
data_NdAuO3
_symmetry_space_group_name_H-M 'P 1'
_symmetry_Int_Tables_number 1
_symmetry_space_group_name_Hall 'P 1'
_cell_length_a 4.007
_cell_length_b 13.106
_cell_length_c 5.703
_cell_angle_alpha 90.00
_cell_angle_beta 90.00
_cell_angle_gamma 90.00
loop_
_atom_site_label
_atom_site_fract_x
_atom_site_fract_y
_atom_site_fract_z
_atom_site_occupancy
Nd1 0.238 0.079 0.250 1
Nd2 0.238 0.421 0.750 1
Nd3 0.762 0.579 0.250 1
Nd4 0.762 0.921 0.750 1
Au1 0.431 0.670 0.750 1
Au2 0.431 0.830 0.250 1
Au3 0.569 0.170 0.750 1
Au4 0.569 0.330 0.250 1
O1 0.243 0.577 0.503 1
O2 0.243 0.577 0.997 1
O3 0.243 0.923 0.003 1
O4 0.243 0.923 0.497 1
O5 0.318 0.250 0.000 1
O6 0.318 0.250 0.500 1
O7 0.682 0.750 0.000 1
O8 0.682 0.750 0.500 1
O9 0.757 0.077 0.503 1
O10 0.757 0.077 0.997 1
O11 0.757 0.423 0.003 1
O12 0.757 0.423 0.497 1
```

Results
- Theoretical density: 8.6 Mg/m³
- E_form (uncorrected): -9.10 eV per formula unit
- DOS(E_F): 0.0 states/eV per cell